[1]
First-principles (PBE-GGA) data for a relaxed structure of ScMn2NbAl, as listed in the Alexandria database.

Calculated values
energy of formation from the pure elements: 1591 meV/atom
E: -6.106 eV/atom

Cell: 4.2958 4.2958 4.7999 Å, 90.00 90.00 90.00°
Fractional positions:
Sc (0.0000, 0.0000, 0.0000)
Mn (0.0000, 0.5000, 0.0000)
Mn (0.5000, 0.0000, 0.0000)
Nb (0.0000, 0.0000, 0.5000)
Al (0.5000, 0.5000, 0.5000)

=====

[2]
First-principles (PBE-GGA) data for a relaxed structure of Ca2FeTe, as listed in the Alexandria database.

Calculated values
E: -4.148 eV/atom

Cell: 5.1787 5.1787 3.8948 Å, 90.00 90.00 90.00°
Fractional positions:
Ca (0.0000, 0.5000, 0.0000)
Ca (0.5000, 0.0000, 0.0000)
Fe (0.0000, 0.0000, 0.5000)
Te (0.5000, 0.5000, 0.5000)

=====

[3]
First-principles (PBE-GGA) data for a relaxed structure of Cr2OsCl, as listed in the Alexandria database.

Calculated values
E: -7.088 eV/atom

Cell: 4.2846 4.2846 4.2846 Å, 60.00 60.00 60.00°
Fractional positions:
Cr (0.0000, 0.0000, 0.0000)
Cr (0.2500, 0.2500, 0.2500)
Os (0.7500, 0.7500, 0.7500)
Cl (0.5000, 0.5000, 0.5000)

=====

no.,magnetization (Bohr magnetons per cell)
1,0.00
2,2.31
3,0.43